1.
Below is ThTiFe4 after structural relaxation, with properties calculated at the PBE level.

Results
Density of states at the Fermi level = 7.4 states/eV/f.u.
DFT total energy = -8.26 eV/atom
Formation energy from the elements = -0.42 eV per formula unit

Lattice parameters (Å, degrees): 7.1308 7.1308 7.1308 90.00 90.00 90.00
Space group F-43m (No. 216)
One atom of each set of equivalent atoms:
1 Th 0.0000 0.0000 0.0000
2 Ti 0.2500 0.2500 0.7500
3 Fe 0.1241 0.1241 0.3759


2.
Below is ThTiFe10 after structural relaxation, with properties calculated at the PBE level.

Results
Density of states at the Fermi level = 13.0 states/eV/f.u.
DFT total energy = -8.33 eV/atom
Formation energy from the elements = 0.01 eV per formula unit

Lattice parameters (Å, degrees): 4.0295 4.8423 8.4421 90.00 90.00 90.00
Space group Pmmm (No. 47)
One atom of each set of equivalent atoms:
1 Th 0.0000 0.0000 0.0000
2 Ti 0.0000 0.5000 0.5000
3 Fe 0.0000 0.0000 0.3468
4 Fe 0.0000 0.5000 0.1988
5 Fe 0.5000 0.0000 0.5000
6 Fe 0.5000 0.2529 0.2611
7 Fe 0.5000 0.5000 0.0000


3.
Below is Th4TlFe2 after structural relaxation, with properties calculated at the PBE level.

Results
Density of states at the Fermi level = 6.6 states/eV/f.u.
DFT total energy = -7.05 eV/atom
Formation energy from the elements = -0.36 eV per formula unit

Lattice parameters (Å, degrees): 6.8076 6.9847 8.7908 107.26 106.47 105.07
Space group P1 (No. 1)
One atom of each set of equivalent atoms:
1 Th 0.0000 0.0000 0.0000
2 Th 0.0230 0.7210 0.5947
3 Th 0.0952 0.2933 0.7388
4 Th 0.2728 0.5946 0.2242
5 Th 0.5005 0.5495 0.6163
6 Th 0.5505 0.0995 0.7161
7 Th 0.6669 0.1666 0.3331
8 Th 0.7151 0.5366 0.1087
9 Tl 0.1312 0.0255 0.3784
10 Tl 0.4201 0.8139 0.9546
11 Fe 0.0369 0.3789 0.3482
12 Fe 0.3549 0.1970 0.9845
13 Fe 0.7036 0.8481 0.5075
14 Fe 0.8621 0.5067 0.8242


4.
Below is Th6Tl2Fe after structural relaxation, with properties calculated at the PBE level.

Results
Density of states at the Fermi level = 9.8 states/eV/f.u.
DFT total energy = -6.48 eV/atom
Formation energy from the elements = -0.64 eV per formula unit

Lattice parameters (Å, degrees): 7.1739 7.1739 10.2123 90.00 90.00 90.00
Space group I4/mmm (No. 139)
One atom of each set of equivalent atoms:
1 Th 0.0000 0.0000 0.2421
2 Th 0.2423 0.2423 0.0000
3 Tl 0.0000 0.5000 0.2500
4 Fe 0.0000 0.0000 0.5000


5.
Below is Th2TlFe after structural relaxation, with properties calculated at the PBE level.

Results
Density of states at the Fermi level = 4.2 states/eV/f.u.
Energy above the most stable polymorph in this dataset = 0.000 eV per atom
DFT total energy = -6.55 eV/atom
Formation energy from the elements = -0.52 eV per formula unit

Lattice parameters (Å, degrees): 5.9822 3.9558 9.0243 90.00 94.92 90.00
Space group P2_1/m (No. 11)
One atom of each set of equivalent atoms:
1 Th 0.1545 0.2500 0.1424
2 Th 0.3437 0.2500 0.7733
3 Tl 0.2158 0.7500 0.4634
4 Fe 0.3223 0.7500 0.9682


6.
Below is Th5Tl2Fe after structural relaxation, with properties calculated at the PBE level.

Results
Density of states at the Fermi level = 10.0 states/eV/f.u.
Energy above the most stable polymorph in this dataset = 0.000 eV per atom
DFT total energy = -6.38 eV/atom
Formation energy from the elements = -0.75 eV per formula unit

Lattice parameters (Å, degrees): 8.1832 12.4079 4.6423 90.00 90.00 90.00
Space group Pbam (No. 55)
One atom of each set of equivalent atoms:
1 Th 0.0000 0.0000 0.0000
2 Th 0.1244 0.3075 0.0000
3 Th 0.1869 0.5626 0.5000
4 Tl 0.0858 0.8239 0.5000
5 Fe 0.0000 0.5000 0.0000


7.
Below is Th3Tl2Fe after structural relaxation, with properties calculated at the PBE level.

Results
Density of states at the Fermi level = 6.5 states/eV/f.u.
Energy above the most stable polymorph in this dataset = 0.126 eV per atom
DFT total energy = -5.94 eV/atom
Formation energy from the elements = -0.17 eV per formula unit

Lattice parameters (Å, degrees): 7.3595 11.9507 8.3606 90.00 105.14 90.00
Space group C2/m (No. 12)
One atom of each set of equivalent atoms:
1 Th 0.1720 0.0000 0.1807
2 Th 0.2349 0.1943 0.7926
3 Tl 0.0000 0.0000 0.5000
4 Tl 0.0000 0.3703 0.5000
5 Tl 0.0000 0.5000 0.0000
6 Fe 0.0000 0.1739 0.0000


8.
Below is Th3Tl2Fe after structural relaxation, with properties calculated at the PBE level.

Results
Density of states at the Fermi level = 4.8 states/eV/f.u.
Energy above the most stable polymorph in this dataset = 0.000 eV per atom
DFT total energy = -6.06 eV/atom
Formation energy from the elements = -0.93 eV per formula unit

Lattice parameters (Å, degrees): 5.0203 7.5497 9.0570 90.00 105.99 90.00
Space group P2/m (No. 10)
One atom of each set of equivalent atoms:
1 Th 0.0000 0.2269 0.0000
2 Th 0.3634 0.0000 0.7258
3 Th 0.3964 0.5000 0.7920
4 Tl 0.1972 0.2774 0.3942
5 Fe 0.5000 0.1998 0.0000


9.
Below is Th2TlFe after structural relaxation, with properties calculated at the PBE level.

Results
Density of states at the Fermi level = 3.6 states/eV/f.u.
Energy above the most stable polymorph in this dataset = 0.007 eV per atom
DFT total energy = -6.54 eV/atom
Formation energy from the elements = -0.49 eV per formula unit

Lattice parameters (Å, degrees): 14.0807 3.7676 7.8407 90.00 94.60 90.00
Space group C2/m (No. 12)
One atom of each set of equivalent atoms:
1 Th 0.0493 0.0000 0.3057
2 Th 0.2267 0.0000 0.6886
3 Tl 0.1104 0.5000 0.9611
4 Fe 0.1016 0.5000 0.5613


10.
Below is Th5TlFe2 after structural relaxation, with properties calculated at the PBE level.

Results
Density of states at the Fermi level = 8.6 states/eV/f.u.
DFT total energy = -7.14 eV/atom
Formation energy from the elements = -0.71 eV per formula unit

Lattice parameters (Å, degrees): 7.7749 7.7749 13.8257 90.00 90.00 90.00
Space group I4/mcm (No. 140)
One atom of each set of equivalent atoms:
1 Th 0.0000 0.0000 0.0000
2 Th 0.1570 0.3430 0.1312
3 Tl 0.0000 0.0000 0.2500
4 Fe 0.1388 0.3612 0.5000


11.
Below is Th2TlFe after structural relaxation, with properties calculated at the PBE level.

Results
Density of states at the Fermi level = 3.8 states/eV/f.u.
Energy above the most stable polymorph in this dataset = 0.060 eV per atom
DFT total energy = -6.49 eV/atom
Formation energy from the elements = -0.27 eV per formula unit

Lattice parameters (Å, degrees): 3.9130 3.9130 25.2888 90.00 90.00 120.00
Space group R3m (No. 160, hexagonal axes)
One atom of each set of equivalent atoms:
1 Th 0.0000 0.0000 0.0000
2 Th 0.0000 0.0000 0.2151
3 Tl 0.0000 0.0000 0.7758
4 Fe 0.0000 0.0000 0.6060


12.
Below is Th7Tl2Fe2 after structural relaxation, with properties calculated at the PBE level.

Results
Density of states at the Fermi level = 13.0 states/eV/f.u.
DFT total energy = -6.77 eV/atom
Formation energy from the elements = -0.86 eV per formula unit

Lattice parameters (Å, degrees): 3.6598 16.6064 10.1207 90.00 90.00 90.00
Space group Imm2 (No. 44)
One atom of each set of equivalent atoms:
1 Th 0.0000 0.0000 0.0000
2 Th 0.0000 0.1480 0.5527
3 Th 0.0000 0.3238 0.3595
4 Th 0.0000 0.3393 0.7218
5 Tl 0.0000 0.0000 0.3313
6 Tl 0.0000 0.5000 0.2065
7 Fe 0.0000 0.2244 0.0455